This record from the Alexandria database describes a relaxed structure of YGePd3. The functional is PBE.

Cell: 4.0936 9.0221 9.8613 Å, 90.00 90.00 90.00°
Atoms (fractional coordinates):
Y1 0.2500 0.8925 0.3778
Y2 0.2500 0.3925 0.1222
Y3 0.7500 0.1075 0.6222
Y4 0.7500 0.6075 0.8778
Ge1 0.2500 0.0968 0.8512
Ge2 0.7500 0.9032 0.1488
Ge3 0.7500 0.4032 0.3512
Ge4 0.2500 0.5968 0.6488
Pd1 0.2500 0.8635 0.7129
Pd2 0.7500 0.6365 0.2129
Pd3 0.7500 0.2507 0.9521
Pd4 0.2500 0.5678 0.4021
Pd5 0.2500 0.7493 0.0479
Pd6 0.7500 0.9322 0.9021
Pd7 0.7500 0.1365 0.2871
Pd8 0.7500 0.4322 0.5979
Pd9 0.2500 0.3635 0.7871
Pd10 0.2500 0.0678 0.0979
Pd11 0.2500 0.2493 0.4521
Pd12 0.7500 0.7507 0.5479

Summary:
The crystal system is orthorhombic. For the polymorph energy (0 for the lowest one), the calculation gives 0 meV/atom.

This record from the Alexandria database describes a relaxed structure of Y2ZnGe4Pd3. The functional is PBE.

Cell: 4.1354 4.1354 10.9227 Å, 90.00 90.00 90.00°
Atoms (fractional coordinates):
Zn1 0.5000 0.5000 0.5000
Ge1 0.0000 0.0000 0.0000
Ge2 0.5000 0.0000 0.6398
Ge3 0.0000 0.5000 0.3602
Ge4 0.5000 0.5000 0.0000
Y1 0.0000 0.5000 0.7421
Y2 0.5000 0.0000 0.2579
Pd1 0.0000 0.5000 0.1364
Pd2 0.5000 0.0000 0.8636
Pd3 0.0000 0.0000 0.5000

Summary:
The crystal system is tetragonal.

This record from the Alexandria database describes a relaxed structure of YZn2GePd. The functional is PBE.

Cell: 4.7513 4.7051 4.7513 Å, 90.00 90.00 90.00°
Atoms (fractional coordinates):
Y1 0.5000 0.5000 0.5000
Zn1 0.5000 0.0000 0.0000
Zn2 0.0000 0.0000 0.5000
Pd1 0.0000 0.5000 0.0000
Ge1 0.0000 0.0000 0.0000

Summary:
The crystal system is tetragonal.

This record from the Alexandria database describes a relaxed structure of Y2Zn2GePd5. The functional is PBE.

Cell: 3.7228 9.7396 9.7396 Å, 90.00 90.00 90.00°
Atoms (fractional coordinates):
Y1 0.0000 0.6765 0.1765
Y2 0.0000 0.8235 0.6765
Y3 0.0000 0.1765 0.3235
Y4 0.0000 0.3235 0.8235
Pd1 0.5000 0.2023 0.0647
Pd2 0.5000 0.2977 0.5647
Pd3 0.5000 0.0647 0.7977
Pd4 0.5000 0.7023 0.4353
Pd5 0.5000 0.0000 0.5000
Pd6 0.5000 0.5647 0.7023
Pd7 0.5000 0.4353 0.2977
Pd8 0.5000 0.9353 0.2023
Pd9 0.5000 0.5000 0.0000
Pd10 0.5000 0.7977 0.9353
Zn1 0.0000 0.3785 0.1215
Zn2 0.0000 0.8785 0.3785
Zn3 0.0000 0.1215 0.6215
Zn4 0.0000 0.6215 0.8785
Ge1 0.0000 0.5000 0.5000
Ge2 0.0000 0.0000 0.0000

Summary:
The crystal system is tetragonal.

This record from the Alexandria database describes a relaxed structure of Y2ZnGe3Pd4. The functional is PBE.

Cell: 4.2345 4.2345 10.3640 Å, 90.00 90.00 90.00°
Atoms (fractional coordinates):
Ge1 0.0000 0.0000 0.5000
Ge2 0.0000 0.5000 0.1335
Ge3 0.5000 0.0000 0.8665
Pd1 0.0000 0.0000 0.0000
Pd2 0.0000 0.5000 0.3664
Pd3 0.5000 0.0000 0.6336
Pd4 0.5000 0.5000 0.0000
Y1 0.0000 0.5000 0.7490
Y2 0.5000 0.0000 0.2510
Zn1 0.5000 0.5000 0.5000

Summary:
The crystal system is tetragonal.

This record from the Alexandria database describes a relaxed structure of Yb3Ge4Pd4. The functional is PBE.

Cell: 8.0956 8.0956 8.0956 Å, 149.95 127.31 61.86°
Site moments in Bohr magnetons follow the coordinates.
Atoms (fractional coordinates):
Yb1 0.6241 0.1241 0.5000  0.18
Yb2 0.3759 0.8759 0.5000  0.18
Yb3 0.0000 0.0000 0.0000  0.16
Ge1 0.3185 0.5000 0.8185  0.00
Ge2 0.7787 0.7787 0.0000  0.00
Ge3 0.6815 0.5000 0.1815  0.00
Ge4 0.2213 0.2213 0.0000  0.00
Pd1 0.9772 0.6746 0.3027  0.00
Pd2 0.0228 0.3254 0.6973  0.00
Pd3 0.6281 0.3254 0.3027  0.00
Pd4 0.3719 0.6746 0.6973  0.00

Summary:
The crystal system is orthorhombic.

| no. | E (eV for the cell shown) | DFT formation energy (eV/atom) |
| --- | --- | --- |
| 1 | -120.87 | -0.71 |
| 2 | -55.35 | -0.71 |
| 3 | -18.98 | -0.03 |
| 4 | -105.27 | -0.66 |
| 5 | -56.51 | -0.77 |
| 6 | -52.57 | -0.80 |